Entry from Alexandria: an optimized crystal structure of ZrScGe (PBE-GGA).

The structure in POSCAR format:
```
ZrScGe
1.0
9.7228 0.0000 0.0000
0.0000 3.6400 0.0000
-2.6581 0.0000 6.7801
Zr Sc Ge
4 4 4
Direct
0.1537 0.0000 0.0749 Zr
0.3463 0.5000 0.9251 Zr
0.6537 0.5000 0.0749 Zr
0.8463 0.0000 0.9251 Zr
0.1578 0.0000 0.5849 Sc
0.3422 0.5000 0.4151 Sc
0.6578 0.5000 0.5849 Sc
0.8422 0.0000 0.4151 Sc
0.0052 0.5000 0.2494 Ge
0.4948 0.0000 0.7506 Ge
0.5052 0.0000 0.2494 Ge
0.9948 0.5000 0.7506 Ge
```

Summary:
space-group type	C2/m, No. 12
energy of formation	-136	kJ/mol of formula units

Entry from Alexandria: an optimized crystal structure of Ce8Te4As3S (PBE-GGA).

The structure in POSCAR format:
```
Ce8Te4As3S
1.0
4.2878 2.4756 7.2343
-4.2878 2.4756 7.2343
0.0000 -4.9511 7.2343
Ce Te As S
8 4 3 1
Direct
0.2415 0.2415 0.2415 Ce
0.2454 0.7376 0.7376 Ce
0.2624 0.2624 0.7546 Ce
0.2624 0.7546 0.2624 Ce
0.7376 0.2454 0.7376 Ce
0.7376 0.7376 0.2454 Ce
0.7546 0.2624 0.2624 Ce
0.7585 0.7585 0.7585 Ce
0.0000 0.0000 0.0000 Te
0.0000 0.5000 0.5000 Te
0.5000 0.0000 0.5000 Te
0.5000 0.5000 0.0000 Te
0.0000 0.0000 0.5000 As
0.0000 0.5000 0.0000 As
0.5000 0.0000 0.0000 As
0.5000 0.5000 0.5000 S
```

Summary:
energy relative to the elements, uncorrected	-1485	meV per atom
space-group type	R-3m, No. 166

Number 1: total moment 0.00 μB per formula unit. Number 2: total moment 7.83 μB per formula unit.